Here is crystalline BaPdCl2 at its relaxed geometry from Alexandria via LeMat-Bulk. Energies are from GGA-PBE.

abc: 5.1773 5.1773 19.4431
angles: 90.00 90.00 120.00
Space group R-3m (No. 166, hexagonal axes)
Symmetry-distinct sites (fractional):
Ba (0.0000, 0.0000, 0.0000) [3 per cell]
Pd (0.0000, 0.0000, 0.5000) [3 per cell]
Cl (0.0000, 0.0000, 0.3821) [6 per cell]

Summary:
- offset from the most stable computed form (meV/atom) = 0.0